A relaxed SmAlOs crystal, computed with PBE.

Summary:
As for the energy relative to the elements: -0.242 eV/atom. The calculation puts the total DFT energy (no corrections) at -6.81 eV per atom. The density of states at the Fermi level comes out at 0.44 states/eV/atom.

Lattice parameters (Å, degrees): 3.812 4.356 4.356 120.00 90.00 90.00
Positions (direct):
Os: 0.167 0.667 0.333
Al: 0.167 0.000 0.000
Sm: 0.667 0.333 0.667